[1]
This record from the Alexandria database describes Co2AsWI after structural relaxation. The functional is PBE-GGA.

Summary:
Spin magnetization   4.67 μB/cell
Final energy   -22.60 eV/cell
D(E_F)   9.4 states/eV/cell
Crystal system   tetragonal
ΔE_f (raw)   2153 meV per atom

Unit cell a=4.4860 b=4.4860 c=5.4623 alpha=90.00 beta=90.00 gamma=90.00
Space group P4/mmm (No. 123)
Inequivalent atoms, fractional coordinates:
Co (0.0000, 0.5000, 0.0000)
As (0.0000, 0.0000, 0.5000)
W (0.5000, 0.5000, 0.5000)
I (0.0000, 0.0000, 0.0000)


[2]
This record from the Alexandria database describes BaTl2RuO6 after structural relaxation. The functional is PBE-GGA.

Summary:
Spin magnetization   0.00 μB/cell
Final energy   -56.23 eV/cell
D(E_F)   4.7 states/eV/cell
Crystal system   trigonal
ΔE_f (raw)   -1055 meV per atom

Unit cell a=6.1932 b=6.1932 c=6.6035 alpha=90.00 beta=90.00 gamma=120.00
Space group P-3m1 (No. 164)
Inequivalent atoms, fractional coordinates:
Ba (0.0000, 0.0000, 0.0000)
Tl (0.3333, 0.6667, 0.4861)
Ru (0.0000, 0.0000, 0.5000)
O (0.1452, 0.2904, 0.6696)


[3]
This record from the Alexandria database describes MgVTc2 after structural relaxation. The functional is PBE-GGA.

Summary:
Spin magnetization   4.10 μB/cell
ΔH_f (0 K)   74.56 kJ per mole of atoms
Final energy   -113.42 eV/cell
D(E_F)   16.8 states/eV/cell
Crystal system   tetragonal

Unit cell a=3.8559 b=3.8559 c=18.4510 alpha=90.00 beta=90.00 gamma=90.00
Space group I-42d (No. 122)
Inequivalent atoms, fractional coordinates:
Mg (0.0000, 0.0000, 0.0000)
V (0.0000, 0.0000, 0.5000)
Tc (0.1868, 0.2500, 0.6250)


[4]
This record from the Alexandria database describes SiSeN after structural relaxation. The functional is PBE-GGA.

Summary:
Spin magnetization   0.00 μB/cell
Final energy   -70.95 eV/cell
D(E_F)   2.3 states/eV/cell
Crystal system   orthorhombic
Polymorph energy (0 for the lowest one)   6.28 kcal/mol of atoms
ΔE_f (raw)   -168 meV per atom

Unit cell a=3.6366 b=9.7076 c=5.7794 alpha=90.00 beta=90.00 gamma=90.00
Space group Imm2 (No. 44)
Inequivalent atoms, fractional coordinates:
Si (0.0000, 0.1410, 0.0000)
Se (0.0000, 0.1905, 0.5904)
N (0.1852, 0.5000, 0.5141)


[5]
This record from the Alexandria database describes Mn2ReOs after structural relaxation. The functional is PBE-GGA.

Summary:
Spin magnetization   3.66 μB/cell
ΔH_f (0 K)   6.35 kJ per mole of atoms
Final energy   -83.51 eV/cell
D(E_F)   6.9 states/eV/cell
Crystal system   tetragonal

Unit cell a=3.7614 b=3.7614 c=7.3475 alpha=90.00 beta=90.00 gamma=90.00
Space group I4/mmm (No. 139)
Inequivalent atoms, fractional coordinates:
Mn (0.0000, 0.5000, 0.2500)
Re (0.0000, 0.0000, 0.0000)
Os (0.0000, 0.0000, 0.5000)


[6]
This record from the Alexandria database describes LiTiC2Br after structural relaxation. The functional is PBE-GGA.

Summary:
Spin magnetization   0.00 μB/cell
Final energy   -26.17 eV/cell
D(E_F)   2.4 states/eV/cell
Crystal system   tetragonal
ΔE_f (raw)   752 meV per atom

Unit cell a=3.9591 b=3.9591 c=5.6809 alpha=90.00 beta=90.00 gamma=90.00
Space group P4/mmm (No. 123)
Inequivalent atoms, fractional coordinates:
Li (0.0000, 0.0000, 0.0000)
Ti (0.5000, 0.5000, 0.5000)
C (0.0000, 0.5000, 0.5000)
Br (0.5000, 0.5000, 0.0000)


[7]
This record from the Alexandria database describes NaSnNF2 after structural relaxation. The functional is PBE-GGA.

Summary:
Spin magnetization   0.00 μB/cell
Final energy   -23.67 eV/cell
D(E_F)   1.4 states/eV/cell
Crystal system   tetragonal
Polymorph energy (0 for the lowest one)   0.00 kcal/mol of atoms
ΔE_f (raw)   -1256 meV per atom

Unit cell a=4.4169 b=4.4169 c=3.8589 alpha=90.00 beta=90.00 gamma=90.00
Space group P4/mmm (No. 123)
Inequivalent atoms, fractional coordinates:
Na (0.0000, 0.0000, 0.0000)
Sn (0.5000, 0.5000, 0.5000)
N (0.5000, 0.5000, 0.0000)
F (0.0000, 0.5000, 0.5000)


[8]
This record from the Alexandria database describes TbDy2Cd3 after structural relaxation. The functional is PBE-GGA.

Summary:
Spin magnetization   0.04 μB/cell
ΔH_f (0 K)   -30.88 kJ per mole of atoms
Final energy   -18.50 eV/cell
D(E_F)   6.8 states/eV/cell
Crystal system   trigonal

Unit cell a=5.2972 b=5.2972 c=6.5045 alpha=90.00 beta=90.00 gamma=120.00
Space group P-3m1 (No. 164)
Inequivalent atoms, fractional coordinates:
Tb (0.0000, 0.0000, 0.0000)
Dy (0.3333, 0.6667, 0.6654)
Cd (0.0000, 0.0000, 0.5000)
Cd (0.3333, 0.6667, 0.1663)


[9]
This record from the Alexandria database describes GeBRh2 after structural relaxation. The functional is PBE-GGA.

Summary:
Spin magnetization   0.00 μB/cell
ΔH_f (0 K)   6.44 kJ per mole of atoms
Final energy   -102.92 eV/cell
D(E_F)   32.2 states/eV/cell
Crystal system   cubic
Polymorph energy (0 for the lowest one)   9.42 kcal/mol of atoms

Unit cell a=5.8352 b=5.8352 c=5.8352 alpha=90.00 beta=90.00 gamma=90.00
Space group Fm-3m (No. 225)
Inequivalent atoms, fractional coordinates:
Ge (0.0000, 0.0000, 0.0000)
B (0.0000, 0.0000, 0.5000)
Rh (0.2500, 0.2500, 0.2500)


[10]
This record from the Alexandria database describes La2Zn4GaSi3 after structural relaxation. The functional is PBE-GGA.

Summary:
Spin magnetization   0.00 μB/cell
Final energy   -38.71 eV/cell
D(E_F)   2.1 states/eV/cell
Crystal system   tetragonal
ΔE_f (raw)   -446 meV per atom

Unit cell a=4.3123 b=4.3123 c=10.2865 alpha=90.00 beta=90.00 gamma=90.00
Space group P-4m2 (No. 115)
Inequivalent atoms, fractional coordinates:
La (0.0000, 0.5000, 0.2481)
Zn (0.0000, 0.0000, 0.5000)
Zn (0.0000, 0.5000, 0.8690)
Zn (0.5000, 0.5000, 0.5000)
Ga (0.5000, 0.5000, 0.0000)
Si (0.0000, 0.0000, 0.0000)
Si (0.0000, 0.5000, 0.6333)


[11]
This record from the Alexandria database describes ZrMo3Br after structural relaxation. The functional is PBE-GGA.

Summary:
Spin magnetization   0.42 μB/cell
Final energy   -36.60 eV/cell
D(E_F)   8.2 states/eV/cell
Crystal system   cubic
Polymorph energy (0 for the lowest one)   0.00 kcal/mol of atoms
ΔE_f (raw)   1223 meV per atom

Unit cell a=4.6204 b=4.6204 c=4.6204 alpha=90.00 beta=90.00 gamma=90.00
Space group Pm-3m (No. 221)
Inequivalent atoms, fractional coordinates:
Zr (0.0000, 0.0000, 0.0000)
Mo (0.0000, 0.5000, 0.5000)
Br (0.5000, 0.5000, 0.5000)


[12]
This record from the Alexandria database describes CuC after structural relaxation. The functional is PBE-GGA.

Summary:
Spin magnetization   0.00 μB/cell
ΔH_f (0 K)   81.96 kJ per mole of atoms
Final energy   -23.24 eV/cell
D(E_F)   0.8 states/eV/cell
Crystal system   monoclinic
Polymorph energy (0 for the lowest one)   14.51 kcal/mol of atoms

Unit cell a=3.6673 b=3.1568 c=4.3073 alpha=90.00 beta=102.88 gamma=90.00
Space group P2/m (No. 10)
Inequivalent atoms, fractional coordinates:
Cu (0.0000, 0.0000, 0.0000)
Cu (0.0000, 0.5000, 0.5000)
C (0.3468, 0.0000, 0.3924)